1.
# PBE-GGA Ca3BeAs, optimized geometry
data_Ca3BeAs
_cell_length_a 5.558
_cell_length_b 5.558
_cell_length_c 5.558
_cell_angle_alpha 90.00
_cell_angle_beta 90.00
_cell_angle_gamma 90.00
_space_group_name_H-M_alt 'P 1'
_space_group_IT_number 1
_space_group_name_Hall 'P 1'
loop_
_atom_site_label
_atom_site_fract_x
_atom_site_fract_y
_atom_site_fract_z
Be1 0.500 0.500 0.500
Ca1 0.000 0.500 0.000
Ca2 0.000 0.000 0.500
Ca3 0.500 0.000 0.000
As1 0.000 0.000 0.000
# Energy ... -0.2156 Ry/atom
# Energy above the most stable polymorph in this dataset ... 0.0 meV per atom

---

2.
# PBE-GGA Ca4BeAs4, optimized geometry
data_Ca4BeAs4
_cell_length_a 6.106
_cell_length_b 8.468
_cell_length_c 8.468
_cell_angle_alpha 90.00
_cell_angle_beta 90.00
_cell_angle_gamma 90.00
_space_group_name_H-M_alt 'P 1'
_space_group_IT_number 1
_space_group_name_Hall 'P 1'
loop_
_atom_site_label
_atom_site_fract_x
_atom_site_fract_y
_atom_site_fract_z
Be1 0.000 0.000 0.000
Be2 0.500 0.500 0.500
Ca1 0.196 0.235 0.500
Ca2 0.804 0.500 0.765
Ca3 0.304 0.735 0.000
Ca4 0.804 0.500 0.235
Ca5 0.196 0.765 0.500
Ca6 0.304 0.265 0.000
Ca7 0.696 0.000 0.735
Ca8 0.696 0.000 0.265
As1 0.202 0.000 0.231
As2 0.702 0.731 0.500
As3 0.298 0.500 0.731
As4 0.702 0.269 0.500
As5 0.298 0.500 0.269
As6 0.202 0.000 0.769
As7 0.798 0.231 0.000
As8 0.798 0.769 0.000
# Energy ... -0.3160 Ry/atom

---

3.
# PBE-GGA Ca2BeAs, optimized geometry
data_Ca2BeAs
_cell_length_a 6.064
_cell_length_b 6.064
_cell_length_c 6.064
_cell_angle_alpha 139.20
_cell_angle_beta 139.20
_cell_angle_gamma 59.07
_space_group_name_H-M_alt 'P 1'
_space_group_IT_number 1
_space_group_name_Hall 'P 1'
loop_
_atom_site_label
_atom_site_fract_x
_atom_site_fract_y
_atom_site_fract_z
Ca1 0.000 0.000 0.000
Ca2 0.250 0.750 0.500
As1 0.500 0.500 0.000
Be1 0.750 0.250 0.500
# Energy ... -0.2353 Ry/atom
# Energy above the most stable polymorph in this dataset ... 440.3 meV per atom

---

4.
# PBE-GGA CaBeAs, optimized geometry
data_CaBeAs
_cell_length_a 3.876
_cell_length_b 3.876
_cell_length_c 4.320
_cell_angle_alpha 90.00
_cell_angle_beta 90.00
_cell_angle_gamma 120.00
_space_group_name_H-M_alt 'P 1'
_space_group_IT_number 1
_space_group_name_Hall 'P 1'
loop_
_atom_site_label
_atom_site_fract_x
_atom_site_fract_y
_atom_site_fract_z
As1 0.000 0.000 0.167
Ca1 0.667 0.333 0.667
Be1 0.333 0.667 0.167
# Energy ... -0.3047 Ry/atom
# Energy above the most stable polymorph in this dataset ... 0.0 meV per atom

---

5.
# PBE-GGA Ca2BeAs, optimized geometry
data_Ca2BeAs
_cell_length_a 5.919
_cell_length_b 5.919
_cell_length_c 3.926
_cell_angle_alpha 90.00
_cell_angle_beta 90.00
_cell_angle_gamma 42.62
_space_group_name_H-M_alt 'P 1'
_space_group_IT_number 1
_space_group_name_Hall 'P 1'
loop_
_atom_site_label
_atom_site_fract_x
_atom_site_fract_y
_atom_site_fract_z
Ca1 0.984 0.984 0.875
Ca2 0.268 0.268 0.375
Be1 0.685 0.685 0.875
As1 0.563 0.563 0.375
# Energy ... -0.2677 Ry/atom
# Energy above the most stable polymorph in this dataset ... 0.0 meV per atom

---

6.
# PBE-GGA Ca3Be2As4, optimized geometry
data_Ca3Be2As4
_cell_length_a 3.914
_cell_length_b 6.492
_cell_length_c 8.633
_cell_angle_alpha 115.30
_cell_angle_beta 90.00
_cell_angle_gamma 107.55
_space_group_name_H-M_alt 'P 1'
_space_group_IT_number 1
_space_group_name_Hall 'P 1'
loop_
_atom_site_label
_atom_site_fract_x
_atom_site_fract_y
_atom_site_fract_z
Ca1 0.622 0.244 0.704
Ca2 0.000 0.000 0.000
Ca3 0.378 0.756 0.296
Be1 0.698 0.396 0.373
Be2 0.302 0.604 0.627
As1 0.102 0.205 0.397
As2 0.898 0.795 0.603
As3 0.304 0.608 0.903
As4 0.696 0.392 0.097
# Energy ... -0.3131 Ry/atom

---

7.
# PBE-GGA Ca2BeAs, optimized geometry
data_Ca2BeAs
_cell_length_a 5.104
_cell_length_b 5.104
_cell_length_c 5.104
_cell_angle_alpha 60.00
_cell_angle_beta 60.00
_cell_angle_gamma 60.00
_space_group_name_H-M_alt 'P 1'
_space_group_IT_number 1
_space_group_name_Hall 'P 1'
loop_
_atom_site_label
_atom_site_fract_x
_atom_site_fract_y
_atom_site_fract_z
As1 0.500 0.500 0.500
Ca1 0.000 0.000 0.000
Ca2 0.250 0.250 0.250
Be1 0.750 0.750 0.750
# Energy ... -0.2110 Ry/atom
# Energy above the most stable polymorph in this dataset ... 772.0 meV per atom

---

8.
# PBE-GGA CaBe3As, optimized geometry
data_CaBe3As
_cell_length_a 4.476
_cell_length_b 4.476
_cell_length_c 4.476
_cell_angle_alpha 90.00
_cell_angle_beta 90.00
_cell_angle_gamma 90.00
_space_group_name_H-M_alt 'P 1'
_space_group_IT_number 1
_space_group_name_Hall 'P 1'
loop_
_atom_site_label
_atom_site_fract_x
_atom_site_fract_y
_atom_site_fract_z
Be1 0.500 0.000 0.000
Be2 0.000 0.000 0.500
Be3 0.000 0.500 0.000
As1 0.000 0.000 0.000
Ca1 0.500 0.500 0.500
# Energy ... -0.2150 Ry/atom
# Energy above the most stable polymorph in this dataset ... 0.0 meV per atom

---

Question: Among the records above, which one has the highest energy?
Answer: number 7